Here is a geometry-optimized K3P2Au structure from the Alexandria database. Energies are from PBE-GGA.

## Properties
size of the total moment = 0.0 μB per cell
volume = 370 Å³ per cell
crystal system = monoclinic
ΔE_f = -398 meV per atom
mass density = 3.38 Mg/m³

Lattice parameters (Å, degrees): 6.9967 6.9967 7.5487 90.46 90.46 90.01
Atoms (fractional coordinates):
K 0.1140 0.8860 0.7500
K 0.2690 0.3779 0.9689
K 0.3779 0.2690 0.4689
K 0.6221 0.7310 0.5311
K 0.7310 0.6221 0.0311
K 0.8860 0.1140 0.2500
P 0.0054 0.4353 0.6376
P 0.4353 0.0054 0.1376
P 0.5647 0.9946 0.8624
P 0.9946 0.5647 0.3624
Au 0.2473 0.7527 0.2500
Au 0.7527 0.2473 0.7500

Here is a geometry-optimized CaSnTe2 structure from the Alexandria database. Energies are from PBE-GGA.

## Properties
formation energy without anion corrections = -864.0 meV/atom
size of the total moment = 0.0 μB per cell
volume = 134 Å³ per cell
crystal system = trigonal
mass density = 5.12 Mg/m³

Lattice parameters (Å, degrees): 8.2228 8.2228 8.2228 31.44 31.44 31.44
Atoms (fractional coordinates):
Ca 0.0000 0.0000 0.0000
Sn 0.8320 0.8320 0.8320
Te 0.2478 0.2478 0.2478
Te 0.4161 0.4161 0.4161

Here is a geometry-optimized LiCa2Ta structure from the Alexandria database. Energies are from PBE-GGA.

## Properties
relative energy among the computed polymorphs = 136.3 meV per atom
size of the total moment = 0.0 μB per cell
volume = 106 Å³ per cell
crystal system = trigonal
ΔE_f = 626 meV per atom
mass density = 4.21 Mg/m³

Lattice parameters (Å, degrees): 11.6052 11.6052 11.6052 16.16 16.16 16.16
Atoms (fractional coordinates):
Li 0.0000 0.0000 0.0000
Ca 0.2457 0.2457 0.2457
Ca 0.4803 0.4803 0.4803
Ta 0.7368 0.7368 0.7368